Entry 1:
Material: TbGdRh2
Method: DFT, SCAN
State: single point on PBEsol structure

Geometry as extended XYZ:
```
4
Lattice="0.000 3.391 3.391 3.391 0.000 3.391 3.391 3.391 0.000" Properties=species:S:1:pos:R:3 pbc="T T T"
Tb 0.000 0.000 0.000
Gd 3.391 3.391 3.391
Rh 1.696 1.696 1.696
Rh 5.087 5.087 5.087
```

## Properties
final energy: -44.1654 eV per atom
V: 19.50 A^3/atom
magnetization: 7.0 μB per formula unit


Entry 2:
Material: Ca2HfSbTe
Method: DFT, SCAN
State: single point on PBEsol structure

Geometry as extended XYZ:
```
5
Lattice="6.010 0.000 0.000 0.000 6.010 0.000 0.000 0.000 5.201" Properties=species:S:1:pos:R:3 pbc="T T T"
Ca 0.000 3.005 0.000
Ca 3.005 0.000 0.000
Hf 0.000 0.000 0.000
Sb 0.000 0.000 2.600
Te 3.005 3.005 2.600
```

## Properties
final energy: -31.0118 eV per atom
V: 37.57 A^3/atom
magnetization: 1.3 μB per formula unit
ΔE_f (raw): 0.291 eV/atom


Entry 3:
Material: TaCr2Ru
Method: DFT, SCAN
State: single point on PBEsol structure

Geometry as extended XYZ:
```
4
Lattice="-1.482 2.152 4.182 1.482 -2.152 4.182 1.482 2.152 -4.182" Properties=species:S:1:pos:R:3 pbc="T T T"
Ta 0.000 0.000 0.000
Cr 0.000 0.000 4.350
Cr 0.000 2.152 2.018
Ru 1.482 0.000 2.200
```

## Properties
final energy: -34.5730 eV per atom
offset from the most stable computed form: 0 meV/atom
V: 13.34 A^3/atom
magnetization: 0.0 μB per formula unit


Entry 4:
Material: AsRuAuBr2
Method: DFT, SCAN
State: single point on PBEsol structure

Geometry as extended XYZ:
```
5
Lattice="5.050 0.000 0.000 0.000 5.050 0.000 0.000 0.000 4.567" Properties=species:S:1:pos:R:3 pbc="T T T"
As 0.000 0.000 0.000
Ru 0.000 0.000 2.284
Au 2.525 2.525 0.000
Br 0.000 2.525 2.284
Br 2.525 0.000 2.284
```

## Properties
final energy: -32.0352 eV per atom
V: 23.29 A^3/atom
magnetization: 0.0 μB per formula unit
ΔE_f (raw): 0.583 eV/atom


Question: Which of these has the lowest V?
Answer: TaCr2Ru


Question: Look up the final energy of the fourth one.
Answer: -32.0352 eV per atom


Copy entry 4 word for word.
Material: AsRuAuBr2
Method: DFT, SCAN
State: single point on PBEsol structure

Geometry as extended XYZ:
```
5
Lattice="5.050 0.000 0.000 0.000 5.050 0.000 0.000 0.000 4.567" Properties=species:S:1:pos:R:3 pbc="T T T"
As 0.000 0.000 0.000
Ru 0.000 0.000 2.284
Au 2.525 2.525 0.000
Br 0.000 2.525 2.284
Br 2.525 0.000 2.284
```

## Properties
final energy: -32.0352 eV per atom
V: 23.29 A^3/atom
magnetization: 0.0 μB per formula unit
ΔE_f (raw): 0.583 eV/atom


What did the second record say?
Material: Ca2HfSbTe
Method: DFT, SCAN
State: single point on PBEsol structure

Geometry as extended XYZ:
```
5
Lattice="6.010 0.000 0.000 0.000 6.010 0.000 0.000 0.000 5.201" Properties=species:S:1:pos:R:3 pbc="T T T"
Ca 0.000 3.005 0.000
Ca 3.005 0.000 0.000
Hf 0.000 0.000 0.000
Sb 0.000 0.000 2.600
Te 3.005 3.005 2.600
```

## Properties
final energy: -31.0118 eV per atom
V: 37.57 A^3/atom
magnetization: 1.3 μB per formula unit
ΔE_f (raw): 0.291 eV/atom